Record 1
# Zn2FeSb | the Alexandria database | PBE | optimized geometry
data_Zn2FeSb
_symmetry_space_group_name_H-M 'I -4 2 d'
_symmetry_Int_Tables_number 122
_symmetry_space_group_name_Hall 'I -4 2bw'
_cell_length_a 7.586
_cell_length_b 7.586
_cell_length_c 5.128
_cell_angle_alpha 90.00
_cell_angle_beta 90.00
_cell_angle_gamma 90.00
loop_
_atom_site_label
_atom_site_type_symbol
_atom_site_fract_x
_atom_site_fract_y
_atom_site_fract_z
Zn1 Zn 0.216 0.250 0.125
Fe1 Fe 0.000 0.000 0.000
Sb1 Sb 0.000 0.000 0.500
# Formation energy (no corrections) in eV/atom: 0.390
# Crystal system: tetragonal
# Fermi-level density of states in states/eV/f.u.: 3.30

=====

Record 2
# NdDy10Sc4 | the Alexandria database | PBE | optimized geometry
data_NdDy10Sc4
_symmetry_space_group_name_H-M 'I 4/m'
_symmetry_Int_Tables_number 87
_symmetry_space_group_name_Hall '-I 4'
_cell_length_a 12.255
_cell_length_b 12.255
_cell_length_c 6.633
_cell_angle_alpha 90.00
_cell_angle_beta 90.00
_cell_angle_gamma 90.00
loop_
_atom_site_label
_atom_site_type_symbol
_atom_site_fract_x
_atom_site_fract_y
_atom_site_fract_z
Nd1 Nd 0.000 0.000 0.000
Dy1 Dy 0.000 0.500 0.250
Dy2 Dy 0.123 0.281 0.245
Sc1 Sc 0.069 0.823 0.500
# ΔH_f (0 K) in eV/atom: 0.572
# Crystal system: tetragonal
# Fermi-level density of states in states/eV/f.u.: 28.48

=====

Record 3
# OsWBr2 | the Alexandria database | PBE | optimized geometry
data_OsWBr2
_symmetry_space_group_name_H-M 'I -4 m 2'
_symmetry_Int_Tables_number 119
_symmetry_space_group_name_Hall 'I -4 -2'
_cell_length_a 5.113
_cell_length_b 5.113
_cell_length_c 5.434
_cell_angle_alpha 90.00
_cell_angle_beta 90.00
_cell_angle_gamma 90.00
loop_
_atom_site_label
_atom_site_type_symbol
_atom_site_fract_x
_atom_site_fract_y
_atom_site_fract_z
Os1 Os 0.000 0.000 0.000
W1 W 0.000 0.500 0.250
Br1 Br 0.000 0.000 0.500
Br2 Br 0.000 0.500 0.750
# Formation energy (no corrections) in eV/atom: 1.399
# Crystal system: tetragonal
# Fermi-level density of states in states/eV/f.u.: 2.89

=====

Record 4
# Cd2HgPt | the Alexandria database | PBE | optimized geometry
data_Cd2HgPt
_symmetry_space_group_name_H-M 'P 4/m m m'
_symmetry_Int_Tables_number 123
_symmetry_space_group_name_Hall '-P 4 2'
_cell_length_a 4.465
_cell_length_b 4.465
_cell_length_c 3.913
_cell_angle_alpha 90.00
_cell_angle_beta 90.00
_cell_angle_gamma 90.00
loop_
_atom_site_label
_atom_site_type_symbol
_atom_site_fract_x
_atom_site_fract_y
_atom_site_fract_z
Cd1 Cd 0.000 0.500 0.000
Hg1 Hg 0.000 0.000 0.500
Pt1 Pt 0.500 0.500 0.500
# ΔH_f (0 K) in eV/atom: -0.079
# Crystal system: tetragonal
# Fermi-level density of states in states/eV/f.u.: 0.73